DFT (GGA-PBE) results for a relaxed YCr2GeRh crystal.

Cell lengths 4.6069, 4.6069, 4.6643 Å; angles 90.00, 90.00, 90.00 degrees
Fractional positions:
Y (0.0000, 0.0000, 0.0000)
Cr (0.0000, 0.5000, 0.5000)
Cr (0.5000, 0.0000, 0.5000)
Ge (0.5000, 0.5000, 0.5000)
Rh (0.5000, 0.5000, 0.0000)

Calculated values
Its density of states at the Fermi level is 0.7325 states/eV per atom. Its total energy is -7.197 eV per atom.